1.
A relaxed Cs2YTlO4 crystal. Source: Alexandria via LeMat-Bulk, functional GGA-PBE.

a b c (Å): 13.086 11.552 7.469
angles (deg): 84.02 61.39 34.59
Element x y z (fractional)
Cs (0.059, 0.059, 0.691)
Cs (0.309, 0.309, 0.941)
Cs (0.691, 0.691, 0.059)
Cs (0.941, 0.941, 0.309)
Y (0.125, 0.125, 0.125)
Y (0.875, 0.875, 0.875)
Tl (0.375, 0.375, 0.375)
Tl (0.625, 0.625, 0.625)
O (0.019, 0.319, 0.415)
O (0.253, 0.585, 0.681)
O (0.319, 0.019, 0.747)
O (0.415, 0.747, 0.019)
O (0.585, 0.253, 0.981)
O (0.681, 0.981, 0.253)
O (0.747, 0.415, 0.319)
O (0.981, 0.681, 0.585)

2.
A relaxed CsYTlO3 crystal. Source: Alexandria via LeMat-Bulk, functional GGA-PBE.

a b c (Å): 7.422 3.568 11.071
angles (deg): 90.00 109.27 90.00
Element x y z (fractional)
Cs (0.004, 0.250, 0.230)
Cs (0.996, 0.750, 0.770)
Y (0.478, 0.250, 0.126)
Y (0.522, 0.750, 0.874)
Tl (0.447, 0.250, 0.601)
Tl (0.553, 0.750, 0.399)
O (0.307, 0.750, 0.654)
O (0.333, 0.750, 0.199)
O (0.351, 0.250, 0.915)
O (0.649, 0.750, 0.085)
O (0.667, 0.250, 0.801)
O (0.693, 0.250, 0.346)

N(E_F) ... 1.48 states/eV/cell

| no. | volume (Å³ per cell) | raw formation energy (eV per formula unit) |
| --- | --- | --- |
| 1 | 457.6 | -12.4 |
| 2 | 276.7 | -11.6 |